# 1
LaGdTe: optimized geometry, PBE-GGA.

```
LaGdTe
1.0
0.0000 3.6959 3.6959
3.6959 0.0000 3.6959
3.6959 3.6959 0.0000
Te Gd La
1 1 1
Cartesian
0.0000 0.0000 0.0000
1.8480 1.8480 1.8480
5.5439 5.5439 5.5439
```

Summary:
* spin magnetization: 0.71 μB/f.u.
* SG: No. 216
* distance to the lowest polymorph of the same formula: 0 meV/atom
* energy: -4.891 eV per atom
* ρ: 6.97 g cm⁻³

# 2
NaPt3Se5: optimized geometry, PBE-GGA.

```
NaPt3Se5
1.0
6.3508 0.0000 0.0000
-3.1754 5.5000 0.0000
0.0000 0.0000 6.7178
Se Pt Na
5 3 1
Cartesian
0.0000 3.6666 1.6849
0.0000 0.0000 3.3589
3.1754 1.8333 5.0329
0.0000 3.6666 5.0329
3.1754 1.8333 1.6849
-1.5877 2.7500 3.3589
1.5877 2.7500 3.3589
3.1754 0.0000 3.3589
0.0000 0.0000 0.0000
```

Summary:
* spin magnetization: 0.00 μB/f.u.
* SG: No. 191
* energy: -4.326 eV per atom
* ρ: 7.10 g cm⁻³

# 3
SbIr17: optimized geometry, PBE-GGA.

```
SbIr17
1.0
4.6955 0.0000 0.0000
0.0000 5.4319 0.0000
-0.0172 0.0000 29.8480
Ir Sb
34 2
Cartesian
4.6811 5.4194 23.1632
2.3199 4.0739 23.1354
0.7633 1.3580 27.6252
3.9127 1.3580 2.2430
2.3311 1.3580 23.1457
3.1157 0.0065 20.9685
1.5623 2.7187 2.2362
1.5473 2.7153 25.3754
-0.0028 2.7035 6.6849
2.3585 1.3580 6.7126
1.5627 2.7224 8.8796
-0.0028 0.0124 6.6849
0.7805 1.3580 4.4773
0.7847 1.3580 20.9439
0.7656 4.0739 27.6050
3.8919 1.3580 25.3859
4.6811 2.7284 23.1632
0.7864 4.0739 4.4622
1.5627 5.4254 8.8796
2.3477 4.0739 0.0000
3.1310 2.7165 4.4727
0.0000 2.7159 0.0000
3.1310 5.4313 4.4727
3.1160 0.0028 27.6118
2.3472 4.0739 6.7024
3.9150 4.0739 2.2228
2.3477 1.3580 0.0000
3.8936 4.0739 8.9041
1.5623 5.4291 2.2362
0.0000 0.0000 0.0000
1.5473 0.0006 25.3754
3.1160 2.7132 27.6118
3.1157 2.7094 20.9685
3.8979 4.0739 25.3707
0.7735 4.0739 19.9989
3.9048 1.3580 9.8491
```

Summary:
* spin magnetization: 0.01 μB/f.u.
* SG: No. 11
* distance to the lowest polymorph of the same formula: 2 meV/atom
* energy: -8.449 eV per atom
* ρ: 14.79 g cm⁻³

# 4
SrOsNO: optimized geometry, PBE-GGA.

```
SrOsNO
1.0
3.7987 0.0000 0.0000
0.0000 3.7987 0.0000
0.0000 0.0000 8.9053
Os Sr N O
2 2 2 2
Cartesian
0.0000 0.0000 4.4527
1.8993 1.8993 4.4527
1.8993 0.0000 1.3924
0.0000 1.8993 7.5130
1.8993 0.0000 5.3928
0.0000 1.8993 3.5126
0.0000 0.0000 0.0000
1.8993 1.8993 0.0000
```

Summary:
* spin magnetization: 0.08 μB/f.u.
* SG: No. 129
* distance to the lowest polymorph of the same formula: 333 meV/atom
* energy: -7.066 eV per atom
* ρ: 7.96 g cm⁻³

# 5
ZrGeSe3S: optimized geometry, PBE-GGA.

```
ZrGeSe3S
1.0
2.7037 7.8688 0.3083
-5.8624 -5.9123 -0.0175
0.5887 -0.6148 10.5308
Se S Zr Ge
6 2 2 2
Cartesian
-2.6424 -0.7389 0.1517
2.5843 7.2808 2.9685
0.4844 3.9857 2.3282
-5.1501 -5.9435 7.9286
-3.1130 -2.5828 7.4456
-0.2168 2.3826 5.4981
-4.4112 -5.0340 9.8363
2.0559 6.1513 4.8280
0.2122 2.6544 8.3288
-2.7561 -1.3401 2.9617
-3.6535 -3.1020 5.0680
1.3494 4.1659 10.5124
```

Summary:
* spin magnetization: 0.00 μB/f.u.
* SG: No. 36
* energy: -5.441 eV per atom
* ρ: 4.50 g cm⁻³

# 6
NaGeAsOs: optimized geometry, PBE-GGA.

```
NaGeAsOs
1.0
-2.5401 -3.4666 1.2494
0.2587 -1.5711 4.1828
-3.4015 0.6270 2.8403
Ge As Na Os
1 1 1 1
Cartesian
0.0000 0.0000 0.0000
-2.8415 -2.2054 4.1362
-4.2622 -3.3080 6.2044
-1.4207 -1.1027 2.0681
```

Summary:
* spin magnetization: 0.01 μB/f.u.
* SG: No. 216
* distance to the lowest polymorph of the same formula: 0 meV/atom
* energy: -5.248 eV per atom
* ρ: 9.45 g cm⁻³

# 7
Tl2ZnHgF6: optimized geometry, PBE-GGA.

```
Tl2ZnHgF6
1.0
1.8379 -4.6943 -3.2759
3.7570 -4.0430 2.3843
-1.9672 -5.5297 1.3033
Zn F Tl Hg
1 6 2 1
Cartesian
1.8138 -7.1335 0.2059
3.5883 -7.8862 -0.3092
2.7258 -5.6831 1.2283
1.8026 -8.2782 1.8399
0.9019 -8.5839 -0.8165
0.0393 -6.3808 0.7209
1.8251 -5.9888 -1.4282
0.9069 -3.5667 0.1029
2.7208 -10.7002 0.3088
0.0000 0.0000 0.0000
```

Summary:
* SG: No. 225
* energy: -3.563 eV per atom
* ρ: 8.52 g cm⁻³

# 8
ScCdCuGe: optimized geometry, PBE-GGA.

```
ScCdCuGe
1.0
-2.2531 0.9344 3.9928
0.8963 3.9632 2.3197
-3.2041 3.4068 0.1361
Cd Ge Cu Sc
1 1 1 1
Cartesian
-1.1402 2.0761 1.6121
0.0000 0.0000 0.0000
-3.4207 6.2284 4.8364
-2.2804 4.1522 3.2243
```

Summary:
* spin magnetization: 0.00 μB/f.u.
* SG: No. 216
* distance to the lowest polymorph of the same formula: 117 meV/atom
* energy: -3.931 eV per atom
* ρ: 6.73 g cm⁻³

# 9
AcLuO3: optimized geometry, PBE-GGA.

```
AcLuO3
1.0
-1.2340 -2.3755 -3.1899
3.9147 -0.1359 -1.4132
0.7547 -3.6738 2.4439
O Lu Ac
3 1 1
Cartesian
1.4018 -1.5547 -2.1026
2.4439 -2.4361 0.8687
-0.1305 -3.5559 -0.0196
1.7552 -3.2749 -0.9583
0.7394 -3.5993 2.3943
```

Summary:
* spin magnetization: 0.00 μB/f.u.
* SG: No. 99
* energy: -8.102 eV per atom
* ρ: 9.63 g cm⁻³

# 10
BaSn2HgPd: optimized geometry, PBE-GGA.

```
BaSn2HgPd
1.0
-2.9841 3.5197 -1.6586
0.1630 -1.9753 -4.4850
-9.1915 -6.5837 2.5655
Pd Sn Hg Ba
2 4 2 2
Cartesian
-1.4105 0.7722 -3.0718
0.0000 0.0000 0.0000
-4.5957 -3.2919 1.2828
-2.3803 1.1236 -0.5814
-6.0062 -2.5197 -1.7890
-8.2216 -6.9351 0.0751
-4.6672 -0.5145 0.0569
-5.9348 -5.2971 -0.5632
-8.5237 -3.2769 1.1334
-2.0783 -2.5347 -1.6397
```

Summary:
* SG: No. 129
* distance to the lowest polymorph of the same formula: 45 meV/atom
* energy: -3.630 eV per atom
* ρ: 8.12 g cm⁻³

# 11
Er2ScIn3Pt2: optimized geometry, PBE-GGA.

```
Er2ScIn3Pt2
1.0
3.5233 0.0000 0.0000
0.0000 6.6189 3.8210
0.0000 -6.6189 3.8210
Er In Pt Sc
2 3 2 1
Cartesian
0.0000 -3.8311 5.4283
0.0000 3.8311 5.4283
1.7617 -1.5048 6.7307
1.7617 0.0000 1.8130
1.7617 1.5048 6.7307
1.7617 2.1441 3.8367
1.7617 -2.1441 3.8367
0.0000 0.0000 4.4054
```

Summary:
* spin magnetization: 0.03 μB/f.u.
* SG: No. 38
* energy: -5.341 eV per atom
* ρ: 10.38 g cm⁻³

# 12
TaInFeAg: optimized geometry, PBE-GGA.

```
TaInFeAg
1.0
0.6033 -1.6929 4.2435
-0.3308 2.7818 3.6591
-3.5916 -0.3759 2.8629
Ta Ag Fe In
1 1 1 1
Cartesian
-0.8298 0.1782 2.6914
-1.6596 0.3565 5.3828
-2.4894 0.5347 8.0742
0.0000 0.0000 0.0000
```

Summary:
* spin magnetization: 2.11 μB/f.u.
* SG: No. 216
* distance to the lowest polymorph of the same formula: 224 meV/atom
* energy: -5.915 eV per atom
* ρ: 11.03 g cm⁻³

Number 12 is which compound?
TaInFeAg

The lowest energy belongs to which entry?
SbIr17

energy of number 10 (BaSn2HgPd)?
-3.630 eV per atom